No. 1
CuNiAg2 after structural relaxation. Source: Alexandria, functional PBE-GGA.

Values from the calculation:
As for the density of states at the Fermi level: 2.33 states/eV/cell. The energy above the most stable polymorph in this dataset comes out at 86 meV/atom. As for the total energy: -3.6788 eV per atom.

abc: 4.4444 4.4444 2.9654
angles: 90.00 90.00 90.00
Atoms (fractional coordinates):
Cu 0.0000 0.0000 0.0000
Ni 0.5000 0.5000 0.0000
Ag 0.0000 0.5000 0.5000
Ag 0.5000 0.0000 0.5000

No. 2
NdTm2ThS4 after structural relaxation. Source: Alexandria, functional PBE-GGA.

Values from the calculation:
As for the density of states at the Fermi level: 3.29 states/eV/cell. As for the uncorrected formation energy: -1.9282 eV per atom. As for the total energy: -6.6333 eV per atom.

abc: 6.7664 3.8915 6.9911
angles: 90.00 108.76 90.00
Atoms (fractional coordinates):
Nd 0.0000 0.0000 0.0000
Tm 0.0000 0.5000 0.5000
Tm 0.5000 0.0000 0.5000
Th 0.5000 0.5000 0.0000
S 0.2435 0.0000 0.7288
S 0.2581 0.5000 0.2716
S 0.7419 0.5000 0.7284
S 0.7565 0.0000 0.2712

No. 3
LaAgPb after structural relaxation. Source: Alexandria, functional PBE-GGA.

Values from the calculation:
As for the density of states at the Fermi level: 5.16 states/eV/cell. As for the total energy: -4.2355 eV per atom.

abc: 4.8999 6.3458 6.3576
angles: 86.70 67.37 67.30
Atoms (fractional coordinates):
La 0.2434 0.2207 0.2920
La 0.7566 0.7793 0.7080
Ag 0.4569 0.3870 0.6979
Ag 0.5431 0.6130 0.3021
Pb 0.0515 0.7798 0.1186
Pb 0.9485 0.2202 0.8814

No. 4
La2ReNi after structural relaxation. Source: Alexandria, functional PBE-GGA.

Values from the calculation:
As for the density of states at the Fermi level: 5.57 states/eV/cell. The energy above the most stable polymorph in this dataset comes out at 171 meV/atom. As for the total energy: -6.7963 eV per atom.

abc: 5.0417 5.0417 5.0417
angles: 60.00 60.00 60.00
Atoms (fractional coordinates):
La 0.2500 0.2500 0.2500
La 0.7500 0.7500 0.7500
Re 0.0000 0.0000 0.0000
Ni 0.5000 0.5000 0.5000